The following is a PBE calculation of crystalline MgPa2Rh4 at its relaxed geometry, from Alexandria.

The space group is P-1 (No. 2) and the conventional cell measures 4.945, 4.956 and 6.504 Å, with angles of 86.18, 76.39 and 72.11 degrees. The inequivalent atoms are Mg at (0.000, 0.000, 0.000), Pa at (0.350, 0.458, 0.278), Rh at (0.000, 0.500, 0.000), Rh at (0.325, 0.225, 0.628) and Rh at (0.500, 0.000, 0.000).

The total magnetization is 0.0000 μB/atom. The energy relative to the elements is -0.49 eV per atom.